[1]
TiGaPd | PBE | relaxed

Output
DFT formation energy in eV/f.u.: -1.27
Total magnetization in μB/f.u.: 1.0

```
TiGaPd
1.0
0.000 3.004 3.004
3.004 0.000 3.004
3.004 3.004 0.000
Ti Ga Pd
1 1 1
direct
0.000 0.000 0.000
0.500 0.500 0.500
0.750 0.750 0.750
```

[2]
TiGaPd | PBE | relaxed

Output
DFT formation energy in eV/f.u.: -1.63
Total magnetization in μB/f.u.: 0.0

```
TiGaPd
1.0
5.210 -1.528 0.000
5.210 1.528 0.000
-1.814 0.000 5.863
Ti Ga Pd
2 2 2
direct
0.181 0.181 0.120
0.819 0.819 0.880
0.473 0.473 0.224
0.527 0.527 0.776
0.146 0.146 0.546
0.854 0.854 0.454
```

The lowest total magnetization belongs to which entry? number 2

What did the second record say?
TiGaPd | PBE | relaxed

Output
DFT formation energy in eV/f.u.: -1.63
Total magnetization in μB/f.u.: 0.0

```
TiGaPd
1.0
5.210 -1.528 0.000
5.210 1.528 0.000
-1.814 0.000 5.863
Ti Ga Pd
2 2 2
direct
0.181 0.181 0.120
0.819 0.819 0.880
0.473 0.473 0.224
0.527 0.527 0.776
0.146 0.146 0.546
0.854 0.854 0.454
```